Entry 1:
Density functional theory data (PBE) for an optimized crystal structure of Nb3VSe6.

The structure belongs to space group P6_322 (No. 182); the cell edges are 6.0692, 6.0692 and 12.8139 Å and the angles 90.00°, 90.00° and 120.00°. The inequivalent atoms are Nb at (0.0000, 0.0000, 0.0000), Nb at (0.3333, 0.6667, 0.0001), V at (0.3333, 0.6667, 0.2500) and Se at (0.0026, 0.3330, 0.8694).

The calculation puts the calculated volume at 408.8 Å³ per cell. For the uncorrected energy, the calculation gives -6.933 eV per atom. The calculation puts the formation energy (no corrections) at -910 meV/atom. The crystal system is hexagonal. For the spin magnetization, the calculation gives 0.202 μB/atom.

=====

Entry 2:
Density functional theory data (PBE) for an optimized crystal structure of Ac3La8Tb.

The structure belongs to space group Immm (No. 71); the cell edges are 6.8867, 11.8555 and 11.9057 Å and the angles 90.00°, 90.00° and 90.00°. The inequivalent atoms are Ac at (0.0000, 0.0000, 0.0000), Ac at (0.0000, 0.2436, 0.5000), La at (0.0000, 0.2549, 0.1727), La at (0.2220, 0.0000, 0.2760) and Tb at (0.0000, 0.5000, 0.0000).

The calculation puts the calculated volume at 972.1 Å³ per cell. For the uncorrected energy, the calculation gives -4.487 eV per atom. The crystal system is orthorhombic. As for the formation energy: 0.2110 eV/atom. For the spin magnetization, the calculation gives 0.000 μB/atom.

=====

Entry 3:
Density functional theory data (PBE) for an optimized crystal structure of TcPbCl2.

The structure belongs to space group P4mm (No. 99); the cell edges are 3.3849, 3.3849 and 8.3467 Å and the angles 90.00°, 90.00° and 90.00°. The inequivalent atoms are Tc at (0.0000, 0.0000, 0.0000), Pb at (0.5000, 0.5000, 0.7641), Cl at (0.0000, 0.0000, 0.5427) and Cl at (0.5000, 0.5000, 0.1582).

The calculation puts the calculated volume at 95.6 Å³ per cell. For the uncorrected energy, the calculation gives -4.279 eV per atom. The calculation puts the formation energy (no corrections) at 163 meV/atom. The crystal system is tetragonal. For the spin magnetization, the calculation gives 0.751 μB/atom.

=====

Entry 4:
Density functional theory data (PBE) for an optimized crystal structure of RbSrNb2.

The structure belongs to space group I-42d (No. 122); the cell edges are 9.2756, 9.2756 and 5.7804 Å and the angles 90.00°, 90.00° and 90.00°. The inequivalent atoms are Rb at (0.0000, 0.0000, 0.0000), Sr at (0.0000, 0.0000, 0.5000) and Nb at (0.2497, 0.2500, 0.1250).

The calculation puts the calculated volume at 497.3 Å³ per cell. For the uncorrected energy, the calculation gives -3.849 eV per atom. The crystal system is tetragonal. As for the formation energy: 1.8484 eV/atom. For the spin magnetization, the calculation gives 0.710 μB/atom.

=====

Entry 5:
Density functional theory data (PBE) for an optimized crystal structure of NaBPb.

The structure belongs to space group I4/mmm (No. 139); the cell edges are 10.2774, 10.2774 and 6.0560 Å and the angles 90.00°, 90.00° and 90.00°. The inequivalent atoms are Na at (0.0000, 0.2351, 0.0000), B at (0.0830, 0.0830, 0.5000) and Pb at (0.0000, 0.3040, 0.5000).

The calculation puts the calculated volume at 639.7 Å³ per cell. For the uncorrected energy, the calculation gives -3.357 eV per atom. The crystal system is tetragonal. As for the formation energy: 0.5443 eV/atom. For the spin magnetization, the calculation gives 0.000 μB/atom.

=====

Entry 6:
Density functional theory data (PBE) for an optimized crystal structure of Y2ReSb.

The structure belongs to space group I-42d (No. 122); the cell edges are 8.2322, 8.2322 and 5.9683 Å and the angles 90.00°, 90.00° and 90.00°. The inequivalent atoms are Y at (0.1927, 0.7500, 0.1250), Re at (0.0000, 0.0000, 0.0000) and Sb at (0.0000, 0.0000, 0.5000).

The calculation puts the calculated volume at 404.5 Å³ per cell. For the uncorrected energy, the calculation gives -7.105 eV per atom. The calculation puts the formation energy (no corrections) at 270 meV/atom. The crystal system is tetragonal. For the spin magnetization, the calculation gives 0.000 μB/atom.

=====

Entry 7:
Density functional theory data (PBE) for an optimized crystal structure of CeCdRh.

The structure belongs to space group I4mm (No. 107); the cell edges are 3.3450, 3.3450 and 11.6926 Å and the angles 90.00°, 90.00° and 90.00°. The inequivalent atoms are Ce at (0.0000, 0.0000, 0.0000), Cd at (0.0000, 0.0000, 0.7154) and Rh at (0.0000, 0.0000, 0.3624).

The calculation puts the calculated volume at 130.8 Å³ per cell. For the uncorrected energy, the calculation gives -5.133 eV per atom. The crystal system is tetragonal. As for the formation energy: -0.3998 eV/atom. For the spin magnetization, the calculation gives 0.222 μB/atom.

=====

Entry 8:
Density functional theory data (PBE) for an optimized crystal structure of PrCu6.

The structure belongs to space group Im-3m (No. 229); the cell edges are 6.4332, 6.4332 and 6.4332 Å and the angles 90.00°, 90.00° and 90.00°. The inequivalent atoms are Pr at (0.0000, 0.0000, 0.0000) and Cu at (0.0000, 0.2500, 0.5000).

The calculation puts the calculated volume at 266.2 Å³ per cell. For the uncorrected energy, the calculation gives -3.814 eV per atom. The crystal system is cubic. As for the formation energy: 0.3800 eV/atom. For the spin magnetization, the calculation gives 0.000 μB/atom.

=====

Entry 9:
Density functional theory data (PBE) for an optimized crystal structure of CdBr2Cl.

The structure belongs to space group C2 (No. 5); the cell edges are 5.3334, 13.3398 and 3.9949 Å and the angles 90.00°, 105.92° and 90.00°. The inequivalent atoms are Cd at (0.0000, 0.0000, 0.0000), Br at (0.0000, 0.1473, 0.5000), Br at (0.0000, 0.6147, 0.0000) and Cl at (0.0000, 0.8805, 0.5000).

The calculation puts the calculated volume at 273.3 Å³ per cell. For the uncorrected energy, the calculation gives -2.088 eV per atom. The calculation puts the formation energy (no corrections) at -561 meV/atom. The crystal system is monoclinic. For the spin magnetization, the calculation gives 0.000 μB/atom.

=====

Entry 10:
Density functional theory data (PBE) for an optimized crystal structure of Cs3SmCu2I9.

The structure belongs to space group P-3m1 (No. 164); the cell edges are 8.3210, 8.3210 and 10.3244 Å and the angles 90.00°, 90.00° and 120.00°. The inequivalent atoms are Cs at (0.0000, 0.0000, 0.0000), Cs at (0.3333, 0.6667, 0.6727), Sm at (0.0000, 0.0000, 0.5000), Cu at (0.3333, 0.6667, 0.1326), I at (0.0000, 0.5000, 0.0000) and I at (0.1730, 0.3459, 0.3257).

The calculation puts the calculated volume at 619.1 Å³ per cell. For the uncorrected energy, the calculation gives -2.948 eV per atom. The calculation puts the formation energy (no corrections) at -987 meV/atom. The crystal system is trigonal. For the spin magnetization, the calculation gives 0.000 μB/atom.

=====

Entry 11:
Density functional theory data (PBE) for an optimized crystal structure of Al2CdAs.

The structure belongs to space group Pmm2 (No. 25); the cell edges are 2.7911, 3.7441 and 7.7294 Å and the angles 90.00°, 90.00° and 90.00°. The inequivalent atoms are Al at (0.0000, 0.0000, 0.0000), Al at (0.5000, 0.5000, 0.2200), Cd at (0.0000, 0.0000, 0.4742) and As at (0.0000, 0.5000, 0.7673).

The calculation puts the calculated volume at 80.8 Å³ per cell. For the uncorrected energy, the calculation gives -3.187 eV per atom. The crystal system is orthorhombic. As for the formation energy: 0.0755 eV/atom. For the spin magnetization, the calculation gives 0.000 μB/atom.

=====

Entry 12:
Density functional theory data (PBE) for an optimized crystal structure of SrMg2FeH8.

The structure belongs to space group P-3m1 (No. 164); the cell edges are 4.4708, 4.4708 and 6.5363 Å and the angles 90.00°, 90.00° and 120.00°. The inequivalent atoms are Sr at (0.0000, 0.0000, 0.0000), Mg at (0.3333, 0.6667, 0.6226), Fe at (0.0000, 0.0000, 0.5000), H at (0.1618, 0.3235, 0.3552) and H at (0.3333, 0.6667, 0.9151).

The calculation puts the calculated volume at 113.1 Å³ per cell. For the uncorrected energy, the calculation gives -3.744 eV per atom. The crystal system is trigonal. For the spin magnetization, the calculation gives 0.007 μB/atom.